Run i
Computed, not measured: AsIr3I after structural relaxation at the PBE level of DFT.

Cell lengths 4.863, 4.863, 4.863 Å; angles 90.00, 90.00, 90.00 degrees
Sites, in units of the cell vectors:
As 0.000 0.000 0.000
Ir 0.000 0.500 0.500
Ir 0.500 0.000 0.500
Ir 0.500 0.500 0.000
I 0.500 0.500 0.500

Calculated values
Space group: Pm-3m (221)
Crystal system: cubic

***

Run ii
Computed, not measured: AsIr3I after structural relaxation at the PBE level of DFT.

Cell lengths 4.674, 4.674, 4.674 Å; angles 90.00, 90.00, 90.00 degrees
Sites, in units of the cell vectors:
As 0.000 0.000 0.000
Ir 0.000 0.000 0.500
Ir 0.000 0.500 0.000
Ir 0.500 0.000 0.000
I 0.500 0.500 0.500

Calculated values
Space group: Pm-3m (221)
Crystal system: cubic

***

Which structure above is the least stable? It is run i.